No. 1
## Y2HfPaP4 (PBE)

Data for an optimized crystal structure of Y2HfPaP4.

a = 6.7515 Å, b = 3.9167 Å, c = 6.8091 Å
α = 90.00°, β = 109.25°, γ = 90.00°
Space group P2/m (No. 10)
Asymmetric unit:
Y  0.0000  0.0000  0.0000 x1
Y  0.5000  0.5000  0.0000 x1
Hf  0.0000  0.5000  0.5000 x1
Pa  0.5000  0.0000  0.5000 x1
P  0.2382  0.0000  0.7342 x2
P  0.2444  0.5000  0.2589 x2

Computed properties:
For the mass density, the calculation gives 6.9 Mg/m³. As for the total magnetization: 0.000 μB per atom. The calculation puts the formation energy at -1.448 eV per atom.

No. 2
## HfZrPa2P4 (PBE)

Data for an optimized crystal structure of HfZrPa2P4.

a = 6.5608 Å, b = 3.8807 Å, c = 6.7020 Å
α = 90.00°, β = 109.95°, γ = 90.00°
Space group P2/m (No. 10)
Asymmetric unit:
Hf  0.0000  0.0000  0.0000 x1
Zr  0.0000  0.5000  0.5000 x1
Pa  0.5000  0.0000  0.5000 x1
Pa  0.5000  0.5000  0.0000 x1
P  0.2335  0.5000  0.2426 x2
P  0.2352  0.0000  0.7472 x2

Computed properties:
For the mass density, the calculation gives 8.9 Mg/m³. As for the total magnetization: 0.000 μB per atom. The calculation puts the formation energy at -1.340 eV per atom.

No. 3
## Hf2ZrPa3P6 (PBE)

Data for an optimized crystal structure of Hf2ZrPa3P6.

a = 6.7102 Å, b = 11.6111 Å, c = 6.5496 Å
α = 90.00°, β = 109.92°, γ = 90.00°
Space group C2/m (No. 12)
Asymmetric unit:
Hf  0.0000  0.1669  0.0000 x4
Zr  0.0000  0.5000  0.0000 x2
Pa  0.0000  0.0000  0.5000 x2
Pa  0.0000  0.3345  0.5000 x4
P  0.2415  0.0000  0.2325 x4
P  0.2461  0.3320  0.2341 x8

Computed properties:
For the mass density, the calculation gives 9.2 Mg/m³. As for the total magnetization: 0.000 μB per atom. The calculation puts the formation energy at -1.330 eV per atom.

No. 4
## Hf6PPb (PBE)

Data for an optimized crystal structure of Hf6PPb.

a = 5.5896 Å, b = 5.7279 Å, c = 5.9580 Å
α = 103.39°, β = 103.55°, γ = 100.06°
Space group P-1 (No. 2)
Asymmetric unit:
Hf  0.1198  0.2157  0.2172 x2
Hf  0.2460  0.4250  0.8091 x2
Hf  0.3277  0.7479  0.4095 x2
P  0.0000  0.0000  0.5000 x1
Pb  0.5000  0.0000  0.0000 x1

Computed properties:
For the mass density, the calculation gives 12.4 Mg/m³. As for the total magnetization: 0.000 μB per atom. The calculation puts the formation energy at -0.148 eV per atom.

No. 5
## Hf2PPb (PBE)

Data for an optimized crystal structure of Hf2PPb.

a = 6.8721 Å, b = 6.8721 Å, c = 6.8721 Å
α = 90.00°, β = 90.00°, γ = 90.00°
Space group Fm-3m (No. 225)
Asymmetric unit:
Hf  0.2500  0.2500  0.2500 x8
P  0.0000  0.0000  0.0000 x4
Pb  0.0000  0.0000  0.5000 x4

Computed properties:
For the mass density, the calculation gives 12.2 Mg/m³. The value obtained for the energy above the most stable polymorph in this dataset is 604 meV per atom. As for the total magnetization: 0.000 μB per atom. The calculation puts the formation energy at -0.066 eV per atom.

No. 6
## Hf6PPb2 (PBE)

Data for an optimized crystal structure of Hf6PPb2.

a = 5.9429 Å, b = 7.1531 Å, c = 11.0589 Å
α = 90.00°, β = 121.53°, γ = 90.00°
Space group P2_1/c (No. 14)
Asymmetric unit:
Hf  0.1057  0.2071  0.4667 x4
Hf  0.3159  0.6722  0.4665 x4
Hf  0.3593  0.0192  0.2357 x4
P  0.5000  0.0000  0.5000 x2
Pb  0.1460  0.1030  0.7412 x4

Computed properties:
For the mass density, the calculation gives 12.6 Mg/m³. As for the total magnetization: 0.000 μB per atom. The calculation puts the formation energy at -0.224 eV per atom.

No. 7
## HfPPb3 (PBE)

Data for an optimized crystal structure of HfPPb3.

a = 5.6195 Å, b = 5.6195 Å, c = 5.6195 Å
α = 90.00°, β = 90.00°, γ = 90.00°
Space group Pm-3m (No. 221)
Asymmetric unit:
Hf  0.0000  0.0000  0.0000 x1
P  0.5000  0.5000  0.5000 x1
Pb  0.0000  0.0000  0.5000 x3

Computed properties:
For the mass density, the calculation gives 7.8 Mg/m³. The value obtained for the energy above the most stable polymorph in this dataset is 41 meV per atom. As for the total magnetization: 0.000 μB per atom. The calculation puts the formation energy at 0.896 eV per atom.

No. 8
## Hf2PPb (PBE)

Data for an optimized crystal structure of Hf2PPb.

a = 6.0794 Å, b = 6.0794 Å, c = 12.7852 Å
α = 90.00°, β = 90.00°, γ = 90.00°
Space group I-42d (No. 122)
Asymmetric unit:
Hf  0.1968  0.2500  0.1250 x8
P  0.0000  0.0000  0.0000 x4
Pb  0.0000  0.0000  0.5000 x4

Computed properties:
For the mass density, the calculation gives 8.4 Mg/m³. The value obtained for the energy above the most stable polymorph in this dataset is 877 meV per atom. As for the total magnetization: 0.000 μB per atom. The calculation puts the formation energy at 0.207 eV per atom.